Density functional theory data (PBE) for a relaxed Sm2TmS4 crystal.

extended XYZ file:
```
14
Lattice="-3.939 3.995 5.511 3.939 -3.995 5.511 3.939 3.995 -5.511" Properties=species:S:1:pos:R:3 pbc="T T T"
Sm 0.000 0.000 0.000
Sm -1.969 1.998 2.755
Sm 0.000 3.995 0.000
Sm 1.969 1.998 2.755
Tm 1.969 1.998 -2.755
Tm 1.969 -1.998 2.755
S 3.939 -0.071 2.703
S 1.941 1.998 -0.050
S 1.997 -1.998 5.461
S 3.939 3.924 -2.703
S 0.000 0.071 8.214
S 1.941 5.993 0.050
S 1.997 1.998 5.560
S 0.000 4.066 2.807
```

Properties
The value obtained for the offset from the most stable computed form is 0.000 eV per atom. The formation energy (no corrections) is -14.2 eV per formula unit. The uncorrected energy is -6.3739 eV per atom.


Density functional theory data (PBE) for a relaxed SmTm4S7 crystal.

extended XYZ file:
```
12
Lattice="6.401 -1.887 0.000 6.401 1.887 0.000 -2.865 0.000 11.205" Properties=species:S:1:pos:R:3 pbc="T T T"
Sm 0.000 0.000 0.000
Tm 0.232 0.000 4.733
Tm 0.463 0.000 9.394
Tm 3.536 0.000 6.784
Tm 9.727 0.000 2.636
S -0.937 0.000 7.110
S 1.403 0.000 2.365
S 4.451 0.000 0.776
S 4.759 0.000 4.148
S 5.253 0.000 10.248
S 8.520 0.000 5.278
S 8.682 0.000 8.602
```

Properties
The formation energy (no corrections) is -24.5 eV per formula unit. The uncorrected energy is -6.3357 eV per atom.


Density functional theory data (PBE) for a relaxed Sm4Tm11S22 crystal.

extended XYZ file:
```
37
Lattice="19.420 -1.952 0.000 19.420 1.952 0.000 -0.307 0.000 11.258" Properties=species:S:1:pos:R:3 pbc="T T T"
Sm 4.079 0.000 0.137
Sm 14.188 0.000 3.927
Sm 24.345 0.000 7.331
Sm 34.454 0.000 11.121
Tm 0.000 0.000 0.000
Tm 2.617 0.000 4.040
Tm 7.556 0.000 10.604
Tm 10.194 0.000 3.976
Tm 13.067 0.000 7.860
Tm 17.827 0.000 3.031
Tm 20.706 0.000 8.227
Tm 25.466 0.000 3.398
Tm 28.339 0.000 7.282
Tm 30.977 0.000 0.654
Tm 35.916 0.000 7.217
S 0.225 0.000 2.709
S 3.196 0.000 8.506
S 5.114 0.000 5.109
S 6.496 0.000 1.691
S 7.072 0.000 7.780
S 9.875 0.000 1.355
S 10.667 0.000 6.674
S 13.601 0.000 1.051
S 15.557 0.000 8.887
S 17.042 0.000 5.532
S 17.571 0.000 0.332
S 20.962 0.000 10.926
S 21.491 0.000 5.725
S 22.976 0.000 2.371
S 24.932 0.000 10.207
S 27.866 0.000 4.584
S 28.658 0.000 9.903
S 31.461 0.000 3.478
S 32.037 0.000 9.567
S 33.419 0.000 6.149
S 35.337 0.000 2.752
S 38.308 0.000 8.549
```

Properties
The formation energy (no corrections) is -77.4 eV per formula unit. The uncorrected energy is -6.3850 eV per atom.


Density functional theory data (PBE) for a relaxed Sm3TmS4 crystal.

extended XYZ file:
```
8
Lattice="3.950 0.000 0.000 0.000 5.607 0.000 0.000 0.000 7.987" Properties=species:S:1:pos:R:3 pbc="T T T"
Sm 0.000 0.000 0.000
Sm 1.975 2.803 1.981
Sm 1.975 2.803 6.006
Tm 0.000 0.000 3.994
S 0.000 2.803 0.000
S 0.000 2.803 3.994
S 1.975 0.000 2.091
S 1.975 0.000 5.897
```

Properties
The value obtained for the offset from the most stable computed form is 0.011 eV per atom. The formation energy (no corrections) is -15.9 eV per formula unit. The uncorrected energy is -6.3829 eV per atom.


Density functional theory data (PBE) for a relaxed Sm3TmS crystal.

extended XYZ file:
```
5
Lattice="5.408 0.000 0.000 0.000 5.408 0.000 0.000 0.000 5.408" Properties=species:S:1:pos:R:3 pbc="T T T"
Sm 0.000 0.000 2.704
Sm 0.000 2.704 0.000
Sm 2.704 0.000 0.000
Tm 2.704 2.704 2.704
S 0.000 0.000 0.000
```

Properties
The formation energy (no corrections) is -3.3 eV per formula unit. The uncorrected energy is -5.2101 eV per atom.


Density functional theory data (PBE) for a relaxed Sm3TmS4 crystal.

extended XYZ file:
```
16
Lattice="6.920 0.000 0.000 0.000 7.880 0.000 -2.276 0.000 6.484" Properties=species:S:1:pos:R:3 pbc="T T T"
Sm -0.569 0.967 1.621
Sm -1.707 2.943 4.863
Sm -0.569 4.937 1.621
Sm -1.707 6.913 4.863
Sm 1.753 0.973 4.863
Sm 2.891 6.907 1.621
Tm 2.891 2.943 1.621
Tm 1.753 4.937 4.863
S 1.757 1.034 0.039
S 0.618 6.846 3.281
S 0.669 3.000 3.239
S -0.469 4.880 6.481
S 5.112 3.000 0.003
S 3.974 4.880 3.245
S 4.025 1.034 3.203
S 2.887 6.846 6.445
```

Properties
The value obtained for the offset from the most stable computed form is 0.000 eV per atom. The formation energy (no corrections) is -16.0 eV per formula unit. The uncorrected energy is -6.3938 eV per atom.


Density functional theory data (PBE) for a relaxed SmTm2US8 crystal.

extended XYZ file:
```
12
Lattice="5.898 0.000 0.000 0.000 8.159 0.000 -0.050 0.000 6.295" Properties=species:S:1:pos:R:3 pbc="T T T"
Sm 0.000 0.000 0.000
Tm 2.924 2.080 3.148
Tm 2.924 6.079 3.148
U 0.000 4.079 0.000
S 1.264 0.000 2.612
S 1.444 4.079 2.138
S 1.434 2.190 5.431
S 1.434 5.969 5.431
S 4.414 2.190 0.864
S 4.414 5.969 0.864
S 4.404 4.079 4.157
S 4.584 0.000 3.684
```

Properties
The formation energy (no corrections) is -17.8 eV per formula unit. The uncorrected energy is -6.3166 eV per atom.


Density functional theory data (PBE) for a relaxed Sm3YTm2S6 crystal.

extended XYZ file:
```
12
Lattice="3.387 -5.888 0.000 3.387 5.888 0.000 -2.263 0.000 6.497" Properties=species:S:1:pos:R:3 pbc="T T T"
Sm 0.000 0.000 0.000
Sm 3.387 1.936 0.000
Sm 3.387 -1.936 0.000
Y 2.256 0.000 3.249
Tm 2.256 3.929 3.249
Tm 2.256 -3.929 3.249
S 1.113 1.990 1.710
S -0.035 0.000 4.775
S 1.113 -1.990 1.710
S 3.398 1.990 4.787
S 4.546 0.000 1.722
S 3.398 -1.990 4.787
```

Properties
The formation energy (no corrections) is -23.9 eV per formula unit. The uncorrected energy is -6.5229 eV per atom.


Look up the uncorrected energy of the second one.
-6.3357 eV per atom


Please write out number 8 again, unchanged.
Density functional theory data (PBE) for a relaxed Sm3YTm2S6 crystal.

extended XYZ file:
```
12
Lattice="3.387 -5.888 0.000 3.387 5.888 0.000 -2.263 0.000 6.497" Properties=species:S:1:pos:R:3 pbc="T T T"
Sm 0.000 0.000 0.000
Sm 3.387 1.936 0.000
Sm 3.387 -1.936 0.000
Y 2.256 0.000 3.249
Tm 2.256 3.929 3.249
Tm 2.256 -3.929 3.249
S 1.113 1.990 1.710
S -0.035 0.000 4.775
S 1.113 -1.990 1.710
S 3.398 1.990 4.787
S 4.546 0.000 1.722
S 3.398 -1.990 4.787
```

Properties
The formation energy (no corrections) is -23.9 eV per formula unit. The uncorrected energy is -6.5229 eV per atom.